(1)
A geometry-optimized La2P structure, computed with PBE-GGA.

abc: 5.286 5.286 6.472
angles: 90.00 90.00 120.00
Sites, in units of the cell vectors:
1 La 0.000 0.000 0.500
2 La 0.000 0.000 0.000
3 La 0.667 0.333 0.750
4 P 0.667 0.333 0.250
5 La 0.333 0.667 0.250
6 P 0.333 0.667 0.750

Calculated values
energy of formation: -0.766 eV/atom
calculated volume: 26.10 Å³/atom
space group: P6_3/mmc

---

(2)
A geometry-optimized LaP2 structure, computed with PBE-GGA.

abc: 4.676 4.676 14.871
angles: 90.00 90.00 120.00
Sites, in units of the cell vectors:
1 La 0.667 0.333 0.610
2 La 0.667 0.333 0.890
3 P 0.837 0.674 0.250
4 La 0.333 0.667 0.110
5 P 0.000 0.000 0.500
6 P 0.326 0.163 0.250
7 P 0.163 0.837 0.750
8 P 0.163 0.326 0.750
9 P 0.000 0.000 0.000
10 P 0.674 0.837 0.750
11 La 0.333 0.667 0.390
12 P 0.837 0.163 0.250

Calculated values
energy of formation: -0.787 eV/atom
calculated volume: 23.46 Å³/atom
space group: P6_3/mmc

---

(3)
A geometry-optimized La6P5 structure, computed with PBE-GGA.

abc: 7.367 7.368 7.361
angles: 120.03 99.62 70.49
Sites, in units of the cell vectors:
1 La 0.745 0.085 0.654
2 La 0.741 0.740 0.000
3 La 0.255 0.915 0.346
4 P 0.500 0.500 0.000
5 La 0.255 0.569 0.654
6 P 0.500 0.834 0.668
7 P 0.000 0.667 0.333
8 La 0.259 0.260 0.000
9 La 0.745 0.431 0.346
10 P 0.000 0.333 0.667
11 P 0.500 0.166 0.332

Calculated values
energy of formation: -1.454 eV/atom
calculated volume: 29.64 Å³/atom
space group: C2/m

---

| no. | spin magnetization (μB per atom) |
| --- | --- |
| 1 | 0.36 |
| 2 | 0.00 |
| 3 | 0.10 |